Computed, not measured: crystalline ZrInClF2 at its relaxed geometry at the PBE level of DFT.

abc: 4.5056 5.1933 4.5056
angles: 90.00 90.00 90.00
With the nearest neighbours (Å) after each atom.
Element x y z (fractional)
1 Cl 0.0000 0.0000 0.0000  4 F 2.25
2 F 0.0000 0.0000 0.5000  2 Cl 2.25
3 In 0.0000 0.5000 0.0000  2 Cl 2.60
4 Zr 0.5000 0.5000 0.5000  4 In 3.19, 8 F 3.44
5 F 0.5000 0.0000 0.0000  2 Cl 2.25

Properties
raw total energy	-3.440	eV/atom
total moment	0.38	μB per formula unit
density of states at the Fermi level	5.88	states/eV per cell